Run i
A plane-wave DFT calculation with PBE-GGA was carried out for a geometry-optimized ScCd5Ag2 structure.

Calculated values
**M_tot**: 0.0 μB/f.u.

Cell lengths 8.146, 8.146, 8.146 Å; angles 124.96, 124.96, 81.60 degrees
Fractional coordinates of all 16 atoms:
Sc (0.250, 0.250, 0.000)
Sc (0.750, 0.750, 0.000)
Cd (0.000, 0.000, 0.000)
Cd (0.003, 0.503, 0.194)
Cd (0.191, 0.997, 0.500)
Cd (0.309, 0.809, 0.806)
Cd (0.497, 0.691, 0.500)
Cd (0.500, 0.500, 0.000)
Cd (0.503, 0.309, 0.500)
Cd (0.691, 0.191, 0.194)
Cd (0.809, 0.003, 0.500)
Cd (0.997, 0.497, 0.806)
Ag (0.140, 0.360, 0.500)
Ag (0.360, 0.860, 0.220)
Ag (0.640, 0.140, 0.780)
Ag (0.860, 0.640, 0.500)

Run ii
A plane-wave DFT calculation with PBE-GGA was carried out for a geometry-optimized ScCd5Ag2 structure.

Calculated values
**M_tot**: 0.0 μB/f.u.

Cell lengths 4.451, 4.451, 8.959 Å; angles 104.27, 104.27, 90.19 degrees
Fractional coordinates of all 8 atoms:
Sc (0.000, 0.000, 0.000)
Cd (0.131, 0.632, 0.263)
Cd (0.368, 0.869, 0.737)
Cd (0.500, 0.500, 0.000)
Cd (0.632, 0.131, 0.263)
Cd (0.869, 0.368, 0.737)
Ag (0.245, 0.245, 0.488)
Ag (0.755, 0.755, 0.512)

Least stable: run i

Run i
A plane-wave DFT calculation with PBE-GGA was carried out for a geometry-optimized ScCd6Ag8 structure.

Calculated values
**M_tot**: 0.0 μB/f.u.

Cell lengths 7.395, 7.395, 7.395 Å; angles 66.13, 66.13, 66.13 degrees
Fractional coordinates of all 15 atoms:
Sc (0.000, 0.000, 0.000)
Cd (0.044, 0.697, 0.412)
Cd (0.303, 0.588, 0.956)
Cd (0.412, 0.044, 0.697)
Cd (0.588, 0.956, 0.303)
Cd (0.697, 0.412, 0.044)
Cd (0.956, 0.303, 0.588)
Ag (0.132, 0.423, 0.793)
Ag (0.186, 0.186, 0.186)
Ag (0.207, 0.868, 0.577)
Ag (0.423, 0.793, 0.132)
Ag (0.577, 0.207, 0.868)
Ag (0.793, 0.132, 0.423)
Ag (0.814, 0.814, 0.814)
Ag (0.868, 0.577, 0.207)

Run ii
A plane-wave DFT calculation with PBE-GGA was carried out for a geometry-optimized ScCd6Ag8 structure.

Calculated values
**M_tot**: 0.0 μB/f.u.

Cell lengths 7.977, 7.977, 5.727 Å; angles 90.00, 90.00, 120.00 degrees
Fractional coordinates of all 15 atoms:
Sc (0.000, 0.000, 0.000)
Cd (0.002, 0.634, 0.162)
Cd (0.366, 0.368, 0.162)
Cd (0.368, 0.002, 0.838)
Cd (0.632, 0.998, 0.162)
Cd (0.634, 0.632, 0.838)
Cd (0.998, 0.366, 0.838)
Ag (0.001, 0.708, 0.655)
Ag (0.292, 0.293, 0.655)
Ag (0.293, 0.001, 0.345)
Ag (0.333, 0.667, 0.500)
Ag (0.667, 0.333, 0.500)
Ag (0.707, 0.999, 0.655)
Ag (0.708, 0.707, 0.345)
Ag (0.999, 0.292, 0.345)

Least stable: run i

Run i
A plane-wave DFT calculation with PBE-GGA was carried out for a geometry-optimized ScCdAgSn structure.

Calculated values
**M_tot**: 0.0 μB/f.u.

Cell lengths 4.958, 4.958, 4.958 Å; angles 60.00, 60.00, 60.00 degrees
Fractional coordinates of all 4 atoms:
Sc (0.000, 0.000, 0.000)
Cd (0.500, 0.500, 0.500)
Ag (0.250, 0.250, 0.250)
Sn (0.750, 0.750, 0.750)

Run ii
A plane-wave DFT calculation with PBE-GGA was carried out for a geometry-optimized ScCdAgSn structure.

Calculated values
**M_tot**: 0.0 μB/f.u.

Cell lengths 4.250, 4.277, 4.674 Å; angles 90.00, 90.00, 90.00 degrees
Fractional coordinates of all 4 atoms:
Sc (0.000, 0.000, 0.000)
Cd (0.000, 0.500, 0.500)
Ag (0.500, 0.000, 0.500)
Sn (0.500, 0.500, 0.000)

Least stable: run i

Run i
A plane-wave DFT calculation with PBE-GGA was carried out for a geometry-optimized TmScCdAg structure.

Calculated values
**M_tot**: 0.0 μB/f.u.

Cell lengths 3.581, 3.581, 7.063 Å; angles 90.00, 90.00, 90.00 degrees
Fractional coordinates of all 4 atoms:
Tm (0.000, 0.000, 0.000)
Sc (0.000, 0.000, 0.482)
Cd (0.500, 0.500, 0.724)
Ag (0.500, 0.500, 0.257)

Run ii
A plane-wave DFT calculation with PBE-GGA was carried out for a geometry-optimized TmScCdAg structure.

Calculated values
**M_tot**: 0.0 μB/f.u.

Cell lengths 5.048, 5.048, 5.048 Å; angles 60.00, 60.00, 60.00 degrees
Fractional coordinates of all 4 atoms:
Tm (0.000, 0.000, 0.000)
Sc (0.500, 0.500, 0.500)
Cd (0.750, 0.750, 0.750)
Ag (0.250, 0.250, 0.250)

Least stable: run ii

Run i
A plane-wave DFT calculation with PBE-GGA was carried out for a geometry-optimized Cd2AgSe2 structure.

Calculated values
**M_tot**: 0.0 μB/f.u.

Cell lengths 7.730, 7.730, 3.996 Å; angles 90.00, 90.00, 90.00 degrees
Fractional coordinates of all 10 atoms:
Cd (0.131, 0.369, 0.000)
Cd (0.369, 0.869, 0.000)
Cd (0.631, 0.131, 0.000)
Cd (0.869, 0.631, 0.000)
Ag (0.000, 0.000, 0.500)
Ag (0.500, 0.500, 0.500)
Se (0.194, 0.694, 0.500)
Se (0.306, 0.194, 0.500)
Se (0.694, 0.806, 0.500)
Se (0.806, 0.306, 0.500)

Run ii
A plane-wave DFT calculation with PBE-GGA was carried out for a geometry-optimized Cd2AgSe2 structure.

Calculated values
**M_tot**: 0.0 μB/f.u.

Cell lengths 7.333, 7.333, 7.333 Å; angles 144.62, 144.62, 50.91 degrees
Fractional coordinates of all 5 atoms:
Cd (0.250, 0.750, 0.500)
Cd (0.750, 0.250, 0.500)
Ag (0.000, 0.000, 0.000)
Se (0.375, 0.375, 0.000)
Se (0.625, 0.625, 0.000)

Run iii
A plane-wave DFT calculation with PBE-GGA was carried out for a geometry-optimized Cd2AgSe2 structure.

Calculated values
**M_tot**: 0.0 μB/f.u.

Cell lengths 6.814, 6.814, 6.814 Å; angles 140.68, 140.68, 56.83 degrees
Fractional coordinates of all 5 atoms:
Cd (0.113, 0.113, 0.000)
Cd (0.887, 0.887, 0.000)
Ag (0.500, 0.500, 0.000)
Se (0.250, 0.750, 0.500)
Se (0.750, 0.250, 0.500)

Least stable: run iii

Run i
A plane-wave DFT calculation with PBE-GGA was carried out for a geometry-optimized CdAg2Se structure.

Calculated values
**M_tot**: 0.0 μB/f.u.

Cell lengths 3.734, 3.734, 5.785 Å; angles 90.00, 90.00, 90.00 degrees
Fractional coordinates of all 4 atoms:
Cd (0.000, 0.000, 0.000)
Ag (0.000, 0.000, 0.509)
Ag (0.500, 0.500, 0.737)
Se (0.500, 0.500, 0.250)

Run ii
A plane-wave DFT calculation with PBE-GGA was carried out for a geometry-optimized CdAg2Se structure.

Calculated values
**M_tot**: 0.0 μB/f.u.

Cell lengths 9.074, 9.074, 9.074 Å; angles 20.58, 20.58, 20.58 degrees
Fractional coordinates of all 4 atoms:
Cd (0.000, 0.000, 0.000)
Ag (0.499, 0.499, 0.499)
Ag (0.750, 0.750, 0.750)
Se (0.245, 0.245, 0.245)

Run iii
A plane-wave DFT calculation with PBE-GGA was carried out for a geometry-optimized CdAg2Se structure.

Calculated values
**M_tot**: 0.0 μB/f.u.

Cell lengths 5.382, 5.382, 4.178 Å; angles 112.61, 112.61, 46.28 degrees
Fractional coordinates of all 4 atoms:
Cd (0.000, 0.000, 0.000)
Ag (0.248, 0.248, 0.750)
Ag (0.500, 0.500, 0.501)
Se (0.752, 0.752, 0.254)

Least stable: run ii

Run i
A plane-wave DFT calculation with PBE-GGA was carried out for a geometry-optimized CdAg2Se structure.

Calculated values
**M_tot**: 0.0 μB/f.u.

Cell lengths 4.856, 4.856, 4.856 Å; angles 60.00, 60.00, 60.00 degrees
Fractional coordinates of all 4 atoms:
Cd (0.000, 0.000, 0.000)
Ag (0.250, 0.250, 0.250)
Ag (0.500, 0.500, 0.500)
Se (0.750, 0.750, 0.750)

Run ii
A plane-wave DFT calculation with PBE-GGA was carried out for a geometry-optimized CdAg2Se structure.

Calculated values
**M_tot**: 0.0 μB/f.u.

Cell lengths 5.355, 5.355, 2.931 Å; angles 90.32, 90.32, 108.68 degrees
Fractional coordinates of all 4 atoms:
Cd (0.000, 0.000, 0.000)
Ag (0.000, 0.500, 0.500)
Ag (0.500, 0.000, 0.500)
Se (0.500, 0.500, 0.000)

Least stable: run ii

Run i
A plane-wave DFT calculation with PBE-GGA was carried out for a geometry-optimized CdAg2Se structure.

Calculated values
**M_tot**: 0.0 μB/f.u.

Cell lengths 4.849, 4.849, 4.849 Å; angles 60.00, 60.00, 60.00 degrees
Fractional coordinates of all 4 atoms:
Cd (0.000, 0.000, 0.000)
Ag (0.250, 0.250, 0.250)
Ag (0.750, 0.750, 0.750)
Se (0.500, 0.500, 0.500)

Run ii
A plane-wave DFT calculation with PBE-GGA was carried out for a geometry-optimized CdAg2Se structure.

Calculated values
**M_tot**: 0.0 μB/f.u.

Cell lengths 3.131, 3.131, 8.166 Å; angles 90.00, 90.00, 90.00 degrees
Fractional coordinates of all 4 atoms:
Cd (0.000, 0.000, 0.000)
Ag (0.000, 0.000, 0.522)
Ag (0.500, 0.500, 0.760)
Se (0.500, 0.500, 0.280)

Run iii
A plane-wave DFT calculation with PBE-GGA was carried out for a geometry-optimized CdAg2Se structure.

Calculated values
**M_tot**: 0.0 μB/f.u.

Cell lengths 5.290, 5.290, 4.251 Å; angles 112.46, 112.46, 47.52 degrees
Fractional coordinates of all 4 atoms:
Cd (0.000, 0.000, 0.000)
Ag (0.250, 0.250, 0.750)
Ag (0.750, 0.750, 0.250)
Se (0.500, 0.500, 0.500)

Run iv
A plane-wave DFT calculation with PBE-GGA was carried out for a geometry-optimized CdAg2Se structure.

Calculated values
**M_tot**: 0.0 μB/f.u.

Cell lengths 8.499, 8.499, 8.499 Å; angles 142.41, 142.41, 54.21 degrees
Fractional coordinates of all 8 atoms:
Cd (0.000, 0.000, 0.000)
Cd (0.750, 0.250, 0.500)
Ag (0.188, 0.625, 0.063)
Ag (0.375, 0.438, 0.563)
Ag (0.562, 0.125, 0.937)
Ag (0.875, 0.812, 0.437)
Se (0.250, 0.750, 0.500)
Se (0.500, 0.500, 0.000)

Least stable: run iv